A plane-wave DFT calculation with GGA-PBEsol was carried out for a geometry-optimized Sb2P2Au structure.

E = -4.602 eV/atom
crystal system = tetragonal

```
Sb2P2Au
1.0
-2.922 1.588 -1.636
2.158 -2.792 -6.564
-4.045 -6.128 1.277
Au P Sb
2 4 4
Cartesian
-0.944 -4.460 -2.644
0.000 0.000 0.000
-0.956 -2.490 -0.710
0.754 -2.930 -4.191
-0.931 -6.430 -4.578
-2.642 -5.990 -1.096
-1.029 -3.661 -5.913
-3.780 -3.671 -1.010
-1.356 -1.126 -2.869
-3.453 -6.206 -4.055
```